Entry from Alexandria: a geometry-optimized Li2UPO8 structure (GGA-PBE).

Values from the calculation:
* raw total energy: -6.460 eV per atom
* uncorrected formation energy: -1.44 eV/atom
* spin magnetization: 0.002 μB per formula unit
* space-group type: No. 164
* V: 108.5 Å³ per cell

Lattice parameters (Å, degrees): 4.4569 4.4569 6.3068 90.00 90.00 120.00
Element x y z (fractional)
Li (0.6667, 0.3333, 0.1595)
Li (0.3333, 0.6667, 0.8405)
U (0.0000, 0.0000, 0.5000)
P (0.0000, 0.0000, 0.0000)
O (0.8355, 0.6709, 0.8275)
O (0.3291, 0.1645, 0.8275)
O (0.8355, 0.1645, 0.8275)
O (0.1645, 0.3291, 0.1725)
O (0.6709, 0.8355, 0.1725)
O (0.1645, 0.8355, 0.1725)
O (0.6667, 0.3333, 0.4606)
O (0.3333, 0.6667, 0.5394)

---

Entry from Alexandria: a geometry-optimized LiUPO6 structure (GGA-PBE).

Values from the calculation:
* raw total energy: -7.694 eV per atom
* uncorrected formation energy: -2.32 eV/atom
* spin magnetization: 0.000 μB per formula unit
* space-group type: No. 163
* V: 209.2 Å³ per cell

Lattice parameters (Å, degrees): 5.1594 5.1594 9.0753 90.00 90.00 120.00
Element x y z (fractional)
Li (0.0000, 0.0000, 0.0000)
Li (0.0000, 0.0000, 0.5000)
U (0.3333, 0.6667, 0.2500)
U (0.6667, 0.3333, 0.7500)
P (0.6667, 0.3333, 0.2500)
P (0.3333, 0.6667, 0.7500)
O (0.6625, 0.6079, 0.1424)
O (0.9453, 0.3375, 0.1424)
O (0.3375, 0.9453, 0.6424)
O (0.0547, 0.6625, 0.8576)
O (0.3921, 0.3375, 0.3576)
O (0.9453, 0.6079, 0.3576)
O (0.6079, 0.9453, 0.8576)
O (0.6625, 0.0547, 0.3576)
O (0.0547, 0.3921, 0.6424)
O (0.3921, 0.0547, 0.1424)
O (0.6079, 0.6625, 0.6424)
O (0.3375, 0.3921, 0.8576)